Record 1
# Ag3Pd5Au2

A relaxed structure of Ag3Pd5Au2 (PBE, the Alexandria database). Values from VASP.

Quantum ESPRESSO input file:
```
&SYSTEM
  ibrav = 0, nat = 20, ntyp = 3
/
ATOMIC_SPECIES
Ag 107.87 Ag.upf
Pd 106.42 Pd.upf
Au 196.97 Au.upf
CELL_PARAMETERS angstrom
7.6602 2.0180 -3.8333
0.8442 7.7062 -3.8405
-2.4838 -2.7372 8.4896
ATOMIC_POSITIONS crystal
Ag 0.2588 0.0088 0.0175
Ag 0.7412 0.9912 0.9825
Ag 0.6760 0.4292 0.2247
Ag 0.3240 0.5708 0.7753
Ag 0.0487 0.7955 0.2247
Ag 0.9513 0.2045 0.7753
Pd 0.2438 0.4938 0.9876
Pd 0.7562 0.5062 0.0124
Pd 0.9969 0.7469 0.4939
Pd 0.5061 0.2561 0.5122
Pd 0.0031 0.2531 0.5061
Pd 0.4939 0.7439 0.4878
Pd 0.7452 0.5216 0.6929
Pd 0.2548 0.4784 0.3071
Pd 0.4478 0.1713 0.6929
Pd 0.5522 0.8287 0.3071
Au 0.9486 0.7336 0.7504
Au 0.0514 0.2664 0.2496
Au 0.3018 0.0168 0.7504
Au 0.6982 0.9832 0.2496
```

Results
Symmetry ... No. 15

Record 2
# DyAlGa2

A relaxed structure of DyAlGa2 (PBE, the Alexandria database). Values from VASP.

Quantum ESPRESSO input file:
```
&SYSTEM
  ibrav = 0, nat = 4, ntyp = 3
/
ATOMIC_SPECIES
Al 26.98 Al.upf
Ga 69.72 Ga.upf
Dy 162.50 Dy.upf
CELL_PARAMETERS angstrom
3.5105 0.0000 0.0000
0.0000 3.5105 0.0000
0.0000 0.0000 6.5116
ATOMIC_POSITIONS crystal
Al 0.5000 0.5000 0.0000
Ga 0.0000 0.0000 0.7937
Ga 0.0000 0.0000 0.2063
Dy 0.5000 0.5000 0.5000
```

Results
Symmetry ... No. 123

Record 3
# Ni3BIr

A relaxed structure of Ni3BIr (PBE, the Alexandria database). Values from VASP.

Quantum ESPRESSO input file:
```
&SYSTEM
  ibrav = 0, nat = 5, ntyp = 3
/
ATOMIC_SPECIES
Ni 58.69 Ni.upf
B 10.81 B.upf
Ir 192.22 Ir.upf
CELL_PARAMETERS angstrom
4.5249 0.0000 0.0000
0.0000 4.5249 0.0000
0.0000 0.0000 4.5249
ATOMIC_POSITIONS crystal
Ni 0.0000 0.5000 0.0000
Ni 0.0000 0.0000 0.5000
Ni 0.5000 0.0000 0.0000
B 0.5000 0.5000 0.5000
Ir 0.0000 0.0000 0.0000
```

Results
Symmetry ... No. 221
Energy relative to the lowest polymorph listed for this composition ... 1.851 eV per atom

Number 1: formation energy 0.15 eV per atom. Number 2: formation energy -0.32 eV per atom. Number 3: formation energy 2.04 eV per atom.